Here is a geometry-optimized SiBRhAuCS structure from Alexandria via LeMat-Bulk. Energies are from PBE.

Lattice parameters (Å, degrees): 3.236 4.846 6.717 69.51 78.16 75.47
Space group P1 (No. 1)
Inequivalent atoms, fractional coordinates:
Si  0.000  0.000  0.000 (multiplicity 1)
B  0.683  0.010  0.512 (multiplicity 1)
Rh  0.704  0.335  0.207 (multiplicity 1)
Au  0.317  0.782  0.414 (multiplicity 1)
C  0.135  0.592  0.151 (multiplicity 1)
S  0.545  0.153  0.748 (multiplicity 1)

Computed properties:
Raw total energy = -0.209 hartree per atom
D(E_F) = 1.5 states/eV/f.u.
Formation energy from raw total energies = 31.7 kJ/mol of atoms